Model w:
Density functional theory data (PBE) for a relaxed structure of ScAgRu3.

Summary:
The calculation puts the density of states at the Fermi level at 8.11 states/eV/cell. Its space-group type is Pm-3m (221).

Cell lengths 4.7854, 4.7854, 4.7854 Å; angles 90.00, 90.00, 90.00 degrees
Last column: magnetic moment on the atom in μB.
Fractional coordinates of all 5 atoms:
Ru 0.0000 0.5000 0.0000  1.53
Ru 0.0000 0.0000 0.5000  1.95
Ru 0.5000 0.0000 0.0000  1.03
Sc 0.5000 0.5000 0.5000  -0.17
Ag 0.0000 0.0000 0.0000  0.19

***

Model x:
Density functional theory data (PBE) for a relaxed structure of ScAgRu3.

Summary:
The calculation puts the density of states at the Fermi level at 6.27 states/eV/cell. Its space-group type is Pm-3m (221).

Cell lengths 4.6263, 4.6263, 4.6263 Å; angles 90.00, 90.00, 90.00 degrees
Last column: magnetic moment on the atom in μB.
Fractional coordinates of all 5 atoms:
Sc 0.0000 0.0000 0.0000  -0.11
Ru 0.0000 0.5000 0.0000  0.91
Ru 0.0000 0.0000 0.5000  0.84
Ru 0.5000 0.0000 0.0000  0.98
Ag 0.5000 0.5000 0.5000  0.03

***

Short version: model w is the least stable of them.